Entry from Alexandria via LeMat-Bulk: a relaxed Zn3SeBr crystal (PBE).

a = 5.177 Å, b = 5.177 Å, c = 5.177 Å
α = 90.00°, β = 90.00°, γ = 90.00°
Fractional positions:
Se1 0.000 0.000 0.000
Br1 0.500 0.500 0.500
Zn1 0.000 0.000 0.500
Zn2 0.000 0.500 0.000
Zn3 0.500 0.000 0.000

Summary:
**Electronic total energy**: -8.58 eV per cell
**SG**: Pm-3m (221)
**V**: 27.746 Å³/atom
**Formation energy from raw total energies**: 0.08 eV/atom



Entry from Alexandria via LeMat-Bulk: a relaxed Zn2SeBr8 crystal (PBE).

a = 6.498 Å, b = 8.348 Å, c = 8.348 Å
α = 59.43°, β = 93.31°, γ = 93.31°
Fractional positions:
Br1 0.809 0.156 0.156
Br2 0.400 0.325 0.325
Zn1 0.428 0.165 0.165
Br3 0.750 0.148 0.703
Br4 0.250 0.852 0.297
Br5 0.750 0.703 0.148
Br6 0.600 0.675 0.675
Zn2 0.572 0.835 0.835
Se1 0.000 0.000 0.000
Br7 0.191 0.844 0.844
Br8 0.250 0.297 0.852

Summary:
**Electronic total energy**: -24.61 eV per cell
**SG**: C2/m (12)
**V**: 35.363 Å³/atom
**Formation energy from raw total energies**: -0.47 eV/atom



Entry from Alexandria via LeMat-Bulk: a relaxed ZnSeBr3 crystal (PBE).

a = 5.231 Å, b = 5.231 Å, c = 5.231 Å
α = 90.00°, β = 90.00°, γ = 90.00°
Each line ends with the local moment (μB).
Fractional positions:
Br1 0.000 0.500 0.000  0.12
Se1 0.500 0.500 0.500  1.47
Zn1 0.000 0.000 0.000  0.00
Br2 0.500 0.000 0.000  0.18
Br3 0.000 0.000 0.500  0.22

Summary:
**Electronic total energy**: -9.47 eV per cell
**SG**: Pm-3m (221)
**V**: 28.634 Å³/atom
**Formation energy from raw total energies**: 0.06 eV/atom



Entry from Alexandria via LeMat-Bulk: a relaxed ZnSe3Br crystal (PBE).

a = 4.970 Å, b = 4.970 Å, c = 4.970 Å
α = 90.00°, β = 90.00°, γ = 90.00°
Fractional positions:
Zn1 0.000 0.000 0.000
Se1 0.500 0.000 0.000
Se2 0.000 0.000 0.500
Se3 0.000 0.500 0.000
Br1 0.500 0.500 0.500

Summary:
**Electronic total energy**: -10.85 eV per cell
**SG**: Pm-3m (221)
**V**: 24.547 Å³/atom
**Formation energy from raw total energies**: 0.51 eV/atom



Entry from Alexandria via LeMat-Bulk: a relaxed ZrZnSeBr2 crystal (PBE).

a = 5.430 Å, b = 5.430 Å, c = 5.176 Å
α = 90.00°, β = 90.00°, γ = 90.00°
Fractional positions:
Br1 0.000 0.500 0.000
Zn1 0.500 0.500 0.500
Br2 0.500 0.000 0.000
Se1 0.000 0.000 0.500
Zr1 0.000 0.000 0.000

Summary:
**Electronic total energy**: -19.86 eV per cell
**SG**: P4/mmm (123)
**V**: 30.518 Å³/atom
**Formation energy from raw total energies**: -0.64 eV/atom



Entry from Alexandria via LeMat-Bulk: a relaxed ZrZnSeBr2 crystal (PBE).

a = 4.959 Å, b = 4.959 Å, c = 5.117 Å
α = 90.00°, β = 90.00°, γ = 90.00°
Each line ends with the local moment (μB).
Fractional positions:
Zr1 0.500 0.500 0.500  1.35
Br1 0.500 0.000 0.000  -0.03
Se1 0.000 0.000 0.500  -0.08
Br2 0.000 0.500 0.000  -0.03
Zn1 0.000 0.000 0.000  0.01

Summary:
**Electronic total energy**: -16.64 eV per cell
**SG**: P4/mmm (123)
**V**: 25.164 Å³/atom
**Formation energy from raw total energies**: 0.00 eV/atom



Entry from Alexandria via LeMat-Bulk: a relaxed ZrSeBr2 crystal (PBE).

a = 6.690 Å, b = 6.690 Å, c = 7.243 Å
α = 62.83°, β = 62.83°, γ = 30.43°
Fractional positions:
Br1 0.756 0.756 0.657
Zr1 0.243 0.243 0.375
Br2 0.905 0.905 0.092
Se1 0.596 0.596 0.376

Summary:
**Electronic total energy**: -20.31 eV per cell
**SG**: Cm (8)
**V**: 36.161 Å³/atom
**Formation energy from raw total energies**: -1.23 eV/atom



Entry from Alexandria via LeMat-Bulk: a relaxed ZrSeBr2 crystal (PBE).

a = 3.252 Å, b = 3.252 Å, c = 9.413 Å
α = 90.00°, β = 90.00°, γ = 90.00°
Fractional positions:
Zr1 0.500 0.500 0.750
Br1 0.000 0.000 0.928
Br2 0.000 0.000 0.572
Se1 0.500 0.500 0.250

Summary:
**Electronic total energy**: -17.55 eV per cell
**SG**: P4/mmm (123)
**V**: 24.883 Å³/atom
**Formation energy from raw total energies**: -0.54 eV/atom